A geometry-optimized Zr2NiClO structure, computed with GGA+U.

a = 5.017 Å, b = 5.017 Å, c = 3.480 Å
α = 90.00°, β = 90.00°, γ = 90.00°
Fractional positions:
1 Zr 0.000 0.500 0.000
2 Zr 0.500 0.000 0.000
3 Ni 0.000 0.000 0.000
4 Cl 0.500 0.500 0.500
5 O 0.000 0.000 0.500

total energy: -5.238 eV/atom
SG: P4/mmm
crystal system: tetragonal
theoretical density: 5.55 g cm⁻³